1.
# Np4PaGa15 GGA-PBE optimized geometry
# E, eV per cell: -111.43
# DFT formation energy, eV per atom: -0.24
data_Np4PaGa15
_cell_length_a 4.268
_cell_length_b 4.268
_cell_length_c 21.428
_cell_angle_alpha 90.00
_cell_angle_beta 90.00
_cell_angle_gamma 90.00
_space_group_name_H-M_alt 'P 4/m m m'
_space_group_IT_number 123
_space_group_name_Hall '-P 4 2'
loop_
_atom_site_label
_atom_site_type_symbol
_atom_site_fract_x
_atom_site_fract_y
_atom_site_fract_z
Np1 Np 0.000 0.000 0.100
Np2 Np 0.000 0.000 0.299
Pa1 Pa 0.000 0.000 0.500
Ga1 Ga 0.000 0.500 0.000
Ga2 Ga 0.000 0.500 0.199
Ga3 Ga 0.000 0.500 0.398
Ga4 Ga 0.500 0.500 0.100
Ga5 Ga 0.500 0.500 0.300
Ga6 Ga 0.500 0.500 0.500

***

2.
# Sc2HCl GGA-PBE optimized geometry
# E, eV per cell: -74.51
data_Sc2HCl
_cell_length_a 6.203
_cell_length_b 6.203
_cell_length_c 6.203
_cell_angle_alpha 90.00
_cell_angle_beta 90.00
_cell_angle_gamma 90.00
_space_group_name_H-M_alt 'F m -3 m'
_space_group_IT_number 225
_space_group_name_Hall '-F 4 2 3'
loop_
_atom_site_label
_atom_site_type_symbol
_atom_site_fract_x
_atom_site_fract_y
_atom_site_fract_z
Sc1 Sc 0.250 0.250 0.250
H1 H 0.000 0.000 0.000
Cl1 Cl 0.000 0.000 0.500